No. 1
# SmZn5Ni2Pd, relaxed, DFT GGA-PBE
# Magnetic moment: 0.000 μB per atom
# Formation enthalpy at 0 K: -180 meV/atom
# E: -3.27 eV per atom
data_SmZn5Ni2Pd
_symmetry_space_group_name_H-M 'P 4/m m m'
_symmetry_Int_Tables_number 123
_symmetry_space_group_name_Hall '-P 4 2'
_cell_length_a 4.639
_cell_length_b 4.639
_cell_length_c 6.983
_cell_angle_alpha 90.00
_cell_angle_beta 90.00
_cell_angle_gamma 90.00
loop_
_atom_site_label
_atom_site_fract_x
_atom_site_fract_y
_atom_site_fract_z
_atom_site_occupancy
Sm1 0.000 0.000 0.000 1
Zn1 0.000 0.500 0.302 1
Zn2 0.500 0.500 0.000 1
Ni1 0.500 0.500 0.334 1
Pd1 0.000 0.000 0.500 1



No. 2
# SmZn3NiPd, relaxed, DFT GGA-PBE
# Magnetic moment: 0.000 μB per atom
# Formation enthalpy at 0 K: -287 meV/atom
# E: -3.54 eV per atom
data_SmZn3NiPd
_symmetry_space_group_name_H-M 'C m c m'
_symmetry_Int_Tables_number 63
_symmetry_space_group_name_Hall '-C 2c 2'
_cell_length_a 7.829
_cell_length_b 10.829
_cell_length_c 5.380
_cell_angle_alpha 90.00
_cell_angle_beta 90.00
_cell_angle_gamma 90.00
loop_
_atom_site_label
_atom_site_fract_x
_atom_site_fract_y
_atom_site_fract_z
_atom_site_occupancy
Sm1 0.000 0.205 0.250 1
Zn1 0.000 0.330 0.750 1
Zn2 0.247 0.500 0.000 1
Ni1 0.000 0.450 0.250 1
Pd1 0.000 0.090 0.750 1



No. 3
# Sm2Zn5Ni2Pd, relaxed, DFT GGA-PBE
# Magnetic moment: 0.000 μB per atom
# Formation enthalpy at 0 K: -350 meV/atom
# E: -3.61 eV per atom
data_Sm2Zn5Ni2Pd
_symmetry_space_group_name_H-M 'P 4/m b m'
_symmetry_Int_Tables_number 127
_symmetry_space_group_name_Hall '-P 4 2ab'
_cell_length_a 9.226
_cell_length_b 9.226
_cell_length_c 4.069
_cell_angle_alpha 90.00
_cell_angle_beta 90.00
_cell_angle_gamma 90.00
loop_
_atom_site_label
_atom_site_fract_x
_atom_site_fract_y
_atom_site_fract_z
_atom_site_occupancy
Sm1 0.184 0.316 0.000 1
Zn1 0.000 0.500 0.500 1
Zn2 0.054 0.797 0.500 1
Ni1 0.110 0.610 0.000 1
Pd1 0.000 0.000 0.000 1



No. 4
# Ni2Sn8Pd, relaxed, DFT GGA-PBE
# Magnetic moment: 0.000 μB per atom
# Formation enthalpy at 0 K: -103 meV/atom
# E: -4.54 eV per atom
data_Ni2Sn8Pd
_symmetry_space_group_name_H-M 'P -1'
_symmetry_Int_Tables_number 2
_symmetry_space_group_name_Hall '-P 1'
_cell_length_a 4.944
_cell_length_b 6.856
_cell_length_c 8.701
_cell_angle_alpha 67.85
_cell_angle_beta 78.85
_cell_angle_gamma 73.16
loop_
_atom_site_label
_atom_site_fract_x
_atom_site_fract_y
_atom_site_fract_z
_atom_site_occupancy
Ni1 0.179 0.287 0.387 1
Sn1 0.199 0.314 0.680 1
Sn2 0.280 0.842 0.575 1
Sn3 0.323 0.114 0.154 1
Sn4 0.381 0.599 0.144 1
Pd1 0.000 0.000 0.000 1